Entry 1:
Here is a geometry-optimized NaSb2Ir2 structure from Alexandria. Energies are from GGA-PBEsol.

Calculated values
SG: No. 127

Cell: 3.044 7.914 7.914 Å, 90.00 90.00 90.00°
Fractional positions:
Sb  0.000  0.344  0.844
Sb  0.000  0.844  0.656
Sb  0.000  0.656  0.156
Sb  0.000  0.156  0.344
Ir  0.500  0.133  0.633
Ir  0.500  0.633  0.867
Ir  0.500  0.867  0.367
Ir  0.500  0.367  0.133
Na  0.000  0.000  0.000
Na  0.000  0.500  0.500

***

Entry 2:
Here is a geometry-optimized P4SeO6 structure from Alexandria. Energies are from GGA-PBEsol.

Calculated values
SG: No. 14

Cell: 6.381 10.298 11.683 Å, 108.21 90.00 90.00°
Fractional positions:
P  0.533  0.338  0.225
P  0.033  0.662  0.275
P  0.467  0.662  0.775
P  0.967  0.338  0.725
P  0.763  0.439  0.050
P  0.263  0.561  0.450
P  0.237  0.561  0.950
P  0.737  0.439  0.550
P  0.872  0.169  0.079
P  0.372  0.831  0.421
P  0.128  0.831  0.921
P  0.628  0.169  0.579
P  0.476  0.207  0.968
P  0.976  0.793  0.532
P  0.524  0.793  0.032
P  0.024  0.207  0.468
Se  0.265  0.111  0.836
Se  0.765  0.889  0.664
Se  0.735  0.889  0.164
Se  0.235  0.111  0.336
O  0.925  0.316  0.053
O  0.425  0.684  0.447
O  0.075  0.684  0.947
O  0.575  0.316  0.553
O  0.729  0.230  0.203
O  0.229  0.770  0.297
O  0.271  0.770  0.797
O  0.771  0.230  0.703
O  0.635  0.460  0.178
O  0.135  0.540  0.322
O  0.365  0.540  0.822
O  0.865  0.460  0.678
O  0.580  0.345  0.955
O  0.080  0.655  0.545
O  0.420  0.655  0.045
O  0.920  0.345  0.455
O  0.386  0.258  0.104
O  0.886  0.742  0.396
O  0.614  0.742  0.896
O  0.114  0.258  0.604
O  0.825  0.116  0.478
O  0.325  0.884  0.022
O  0.175  0.884  0.522
O  0.675  0.116  0.978

***

Number 1: VASP energy -0.220 Ha/atom, formation energy from raw total energies 0.049 eV per atom. Number 2: VASP energy -0.247 Ha/atom, formation energy from raw total energies -1.414 eV per atom.